(1)
{
  "formula": "Nd6PtO12",
  "functional": "GGA-PBE",
  "state": "optimized geometry",
  "lattice": [[5.102, 2.946, 3.260], [-5.102, 2.946, 3.260], [0.000, -5.892, 3.260]],
  "species": ["Nd", "Nd", "Nd", "Nd", "Nd", "Nd", "Pt", "O", "O", "O", "O", "O", "O", "O", "O", "O", "O", "O", "O"],
  "fractional_positions": [[0.111, 0.644, 0.807], [0.193, 0.889, 0.356], [0.356, 0.193, 0.889], [0.644, 0.807, 0.111], [0.807, 0.111, 0.644], [0.889, 0.356, 0.193], [0.500, 0.500, 0.500], [0.059, 0.322, 0.908], [0.092, 0.941, 0.678], [0.206, 0.535, 0.436], [0.322, 0.908, 0.059], [0.436, 0.206, 0.535], [0.465, 0.564, 0.794], [0.535, 0.436, 0.206], [0.564, 0.794, 0.465], [0.678, 0.092, 0.941], [0.794, 0.465, 0.564], [0.908, 0.059, 0.322], [0.941, 0.678, 0.092]],
  "e_tot_ha_per_atom": -0.283,
  "dos_ef_per_ev_cell": 10.06,
  "e_form_raw_ev_per_fu": -52.00,
  "spacegroup": "R-3 (148)"
}

(2)
{
  "formula": "ScWBr2",
  "functional": "GGA-PBE",
  "state": "optimized geometry",
  "lattice": [[0.000, 3.602, 3.602], [3.602, 0.000, 3.602], [3.602, 3.602, 0.000]],
  "species": ["Sc", "W", "Br", "Br"],
  "fractional_positions": [[0.000, 0.000, 0.000], [0.750, 0.750, 0.750], [0.250, 0.250, 0.250], [0.500, 0.500, 0.500]],
  "e_tot_ha_per_atom": -0.176,
  "dos_ef_per_ev_cell": 2.18,
  "e_form_raw_ev_per_fu": 3.44,
  "spacegroup": "F-43m (216)",
  "relative_energy_mev_per_atom": 1191
}

(3)
{
  "formula": "RuPt",
  "functional": "GGA-PBE",
  "state": "optimized geometry",
  "lattice": [[4.253, 0.000, 0.000], [-2.126, 3.683, 0.000], [0.000, 0.000, 8.182]],
  "species": ["Ru", "Ru", "Ru", "Ru", "Pt", "Pt", "Pt", "Pt"],
  "fractional_positions": [[0.000, 0.000, 0.250], [0.000, 0.000, 0.750], [0.333, 0.667, 0.250], [0.667, 0.333, 0.750], [0.333, 0.667, 0.582], [0.333, 0.667, 0.918], [0.667, 0.333, 0.082], [0.667, 0.333, 0.418]],
  "e_tot_ha_per_atom": -0.270,
  "dos_ef_per_ev_cell": 11.17,
  "spacegroup": "P6_3/mmc (194)",
  "ef_mev_per_atom": 317
}

(4)
{
  "formula": "Tl3GaAg",
  "functional": "GGA-PBE",
  "state": "optimized geometry",
  "lattice": [[5.470, 0.000, 0.000], [0.000, 5.470, 0.000], [0.000, 0.000, 5.470]],
  "species": ["Tl", "Tl", "Tl", "Ga", "Ag"],
  "fractional_positions": [[0.000, 0.000, 0.500], [0.000, 0.500, 0.000], [0.500, 0.000, 0.000], [0.000, 0.000, 0.000], [0.500, 0.500, 0.500]],
  "e_tot_ha_per_atom": -0.081,
  "dos_ef_per_ev_cell": 1.66,
  "spacegroup": "Pm-3m (221)",
  "relative_energy_mev_per_atom": 25,
  "ef_mev_per_atom": 378
}